{"formula": "LaCuS2", "functional": "GGA-PBEsol", "state": "relaxed", "space_group": "P2_1/c", "final_energy_ev_per_atom": -6.12, "lattice": [[6.479, 0.004, 0.000], [-0.931, 6.753, 0.000], [0.000, 0.000, 7.223]], "species": ["La", "La", "La", "La", "Cu", "Cu", "Cu", "Cu", "S", "S", "S", "S", "S", "S", "S", "S"], "fractional_positions": [[0.189, 0.801, 0.053], [0.811, 0.699, 0.553], [0.811, 0.199, 0.947], [0.189, 0.301, 0.447], [0.569, 0.049, 0.335], [0.431, 0.951, 0.665], [0.431, 0.451, 0.835], [0.569, 0.549, 0.165], [0.906, 0.000, 0.274], [0.094, 0.500, 0.774], [0.094, 0.000, 0.726], [0.906, 0.500, 0.226], [0.591, 0.776, 0.887], [0.591, 0.276, 0.613], [0.409, 0.224, 0.113], [0.409, 0.724, 0.387]]}